Compound: K2Cr2P3O12
Source: the Alexandria database
Functional: PBE with a Hubbard U
Structure: optimized geometry

Computed properties:
Raw total energy = -7.03 eV per atom
Total magnetic moment = 19.87 μB/cell
Mass density = 3.2 g/cm³

Cell: 9.9182 9.9182 9.9182 Å, 90.00 90.00 90.00°
Last column: nearest neighbours and their distance in Å.
Space group P2_13 (No. 198)
Symmetry-distinct sites (fractional):
K (0.0436, 0.0436, 0.0436) [4 per cell]  9 O 2.84-3.15
K (0.1827, 0.3173, 0.6827) [4 per cell]  9 O 2.89-2.96
Cr (0.1056, 0.8944, 0.3944) [4 per cell]  6 O 1.99-2.02
Cr (0.1628, 0.6628, 0.8372) [4 per cell]  6 O 1.96-1.98
P (0.0248, 0.2079, 0.3776) [12 per cell]  4 O 1.54-1.55
O (0.0141, 0.0602, 0.3278) [12 per cell]  1 P 1.55
O (0.0137, 0.5485, 0.7684) [12 per cell]  1 P 1.55
O (0.0468, 0.8013, 0.2237) [12 per cell]  1 P 1.54
O (0.0993, 0.8260, 0.7455) [12 per cell]  1 P 1.54